(1)
CsAsPBr2 | GGA-PBEsol | relaxed

magnetization = 0.044 μB/atom
VASP energy = -3.447 eV per atom
space-group type = No. 123

a = 4.7510 Å, b = 5.5290 Å, c = 5.5290 Å
α = 90.00°, β = 90.00°, γ = 90.00°
Last column: magnetic moment on the atom in μB.
Element x y z (fractional)
Cs: 0.5000 0.5000 0.5000  0.00
As: 0.5000 0.0000 0.0000  0.09
Br: 0.0000 0.0000 0.5000  0.01
Br: 0.0000 0.5000 0.0000  0.01
P: 0.0000 0.0000 0.0000  -0.01

(2)
Ag8Pb | GGA-PBEsol | relaxed

formation energy = 38 kJ/mol of formula units
magnetization = 0.000 μB/atom
space-group type = No. 139

a = 4.1731 Å, b = 6.5123 Å, c = 6.5123 Å
α = 84.11°, β = 71.31°, γ = 71.31°
Element x y z (fractional)
Ag: 0.3390 0.6610 0.6610
Ag: 0.0000 0.6610 0.3390
Ag: 0.0000 0.3390 0.6610
Ag: 0.3274 0.0000 0.3451
Pb: 0.0000 0.0000 0.0000
Ag: 0.6726 0.6549 0.0000
Ag: 0.6610 0.3390 0.3390
Ag: 0.6726 0.0000 0.6549
Ag: 0.3274 0.3451 0.0000

- Which formula does entry 1 have?
  CsAsPBr2

Copy entry 1 word for word.
CsAsPBr2 | GGA-PBEsol | relaxed

magnetization = 0.044 μB/atom
VASP energy = -3.447 eV per atom
space-group type = No. 123

a = 4.7510 Å, b = 5.5290 Å, c = 5.5290 Å
α = 90.00°, β = 90.00°, γ = 90.00°
Last column: magnetic moment on the atom in μB.
Element x y z (fractional)
Cs: 0.5000 0.5000 0.5000  0.00
As: 0.5000 0.0000 0.0000  0.09
Br: 0.0000 0.0000 0.5000  0.01
Br: 0.0000 0.5000 0.0000  0.01
P: 0.0000 0.0000 0.0000  -0.01

- What is the magnetization in the second record?
  0.000 μB/atom

- magnetization of number 2 (Ag8Pb)?
  0.000 μB/atom